Density functional theory data (meta-GGA SCAN) for a PBEsol-optimized structure of Ba2TlSb.

It has space group P4/mmm (No. 123), with a = 4.379 Å, b = 4.379 Å, c = 7.604 Å, α = 90.00°, β = 90.00° and γ = 90.00°. The asymmetric unit holds Ba at (0.000, 0.000, 0.229), Tl at (0.500, 0.500, 0.500) and Sb at (0.500, 0.500, 0.000).

The uncorrected energy comes out at -48.01 eV per atom. Its formation energy from raw total energies is -827 meV/atom. Its relative energy among the computed polymorphs is 0 meV per atom. The calculation puts the magnetic moment at 0.00 Bohr magnetons per cell. The density comes out at 6.8 g cm⁻³.

---

Density functional theory data (meta-GGA SCAN) for a PBEsol-optimized structure of Ba2TlSb.

It has space group Pmm2 (No. 25), with a = 4.711 Å, b = 5.518 Å, c = 5.514 Å, α = 90.00°, β = 90.00° and γ = 90.00°. The asymmetric unit holds Ba at (0.000, 0.000, 0.000), Ba at (0.000, 0.500, 0.497), Tl at (0.500, 0.000, 0.501) and Sb at (0.500, 0.500, 0.996).

The uncorrected energy comes out at -47.99 eV per atom. Its formation energy from raw total energies is -813 meV/atom. Its relative energy among the computed polymorphs is 14 meV per atom. The calculation puts the magnetic moment at 0.00 Bohr magnetons per cell. The density comes out at 7.0 g cm⁻³.

---

Density functional theory data (meta-GGA SCAN) for a PBEsol-optimized structure of BaTlSb.

It has space group P6_3mc (No. 186), with a = 4.8342 Å, b = 4.8342 Å, c = 11.0627 Å, α = 90.00°, β = 90.00° and γ = 120.00°. The asymmetric unit holds Ba at (0.3333, 0.6667, 0.0000), Tl at (0.0000, 0.0000, 0.2045) and Sb at (0.3333, 0.6667, 0.3257).

The uncorrected energy comes out at -50.51 eV per atom. Its formation energy from raw total energies is -784 meV/atom. Its relative energy among the computed polymorphs is 5 meV per atom. The calculation puts the magnetic moment at 0.00 Bohr magnetons per cell. The density comes out at 6.9 g cm⁻³.

---

Density functional theory data (meta-GGA SCAN) for a PBEsol-optimized structure of BaTl2Sb2.

It has space group I4/mmm (No. 139), with a = 4.850 Å, b = 4.850 Å, c = 14.420 Å, α = 90.00°, β = 90.00° and γ = 90.00°. The asymmetric unit holds Ba at (0.000, 0.000, 0.000), Tl at (0.000, 0.500, 0.250) and Sb at (0.000, 0.000, 0.400).

The uncorrected energy comes out at -52.24 eV per atom. Its formation energy from raw total energies is -478 meV/atom. The calculation puts the magnetic moment at 0.00 Bohr magnetons per cell. The density comes out at 7.7 g cm⁻³.

---

Density functional theory data (meta-GGA SCAN) for a PBEsol-optimized structure of Ba2TlSb.

It has space group F-43m (No. 216), with a = 8.249 Å, b = 8.249 Å, c = 8.249 Å, α = 90.00°, β = 90.00° and γ = 90.00°. The asymmetric unit holds Ba at (0.000, 0.000, 0.000), Ba at (0.250, 0.250, 0.250), Tl at (0.000, 0.000, 0.500) and Sb at (0.250, 0.250, 0.750).

The uncorrected energy comes out at -47.57 eV per atom. Its formation energy from raw total energies is -393 meV/atom. Its relative energy among the computed polymorphs is 433 meV per atom. The calculation puts the magnetic moment at 0.00 Bohr magnetons per cell. The density comes out at 7.1 g cm⁻³.

---

Density functional theory data (meta-GGA SCAN) for a PBEsol-optimized structure of BaTlSb3.

It has space group Pm-3m (No. 221), with a = 6.120 Å, b = 6.120 Å, c = 6.120 Å, α = 90.00°, β = 90.00° and γ = 90.00°. The asymmetric unit holds Ba at (0.000, 0.000, 0.000), Tl at (0.500, 0.500, 0.500) and Sb at (0.000, 0.000, 0.500).

The uncorrected energy comes out at -43.95 eV per atom. Its formation energy from raw total energies is 790 meV/atom. The calculation puts the magnetic moment at 0.00 Bohr magnetons per cell. The density comes out at 5.1 g cm⁻³.

---

Density functional theory data (meta-GGA SCAN) for a PBEsol-optimized structure of BaSb2W.

It has space group I-42d (No. 122), with a = 6.008 Å, b = 6.008 Å, c = 16.341 Å, α = 90.00°, β = 90.00° and γ = 90.00°. The asymmetric unit holds Ba at (0.000, 0.000, 0.000), Sb at (0.041, 0.250, 0.625) and W at (0.000, 0.000, 0.500).

The uncorrected energy comes out at -45.70 eV per atom. Its formation energy from raw total energies is 239 meV/atom. Its relative energy among the computed polymorphs is 197 meV per atom. The calculation puts the magnetic moment at 0.00 Bohr magnetons per cell. The density comes out at 6.4 g cm⁻³.

---

Density functional theory data (meta-GGA SCAN) for a PBEsol-optimized structure of BaSb2W.

It has space group Pmm2 (No. 25), with a = 3.208 Å, b = 4.322 Å, c = 8.102 Å, α = 90.00°, β = 90.00° and γ = 90.00°. The asymmetric unit holds Ba at (0.000, 0.000, 0.000), Sb at (0.000, 0.000, 0.587), Sb at (0.500, 0.500, 0.269) and W at (0.500, 0.500, 0.610).

The uncorrected energy comes out at -45.57 eV per atom. Its formation energy from raw total energies is 373 meV/atom. Its relative energy among the computed polymorphs is 331 meV per atom. The calculation puts the magnetic moment at 0.00 Bohr magnetons per cell. The density comes out at 8.3 g cm⁻³.

---

Density functional theory data (meta-GGA SCAN) for a PBEsol-optimized structure of BaSb2W.

It has space group P4/mmm (No. 123), with a = 3.438 Å, b = 3.438 Å, c = 8.270 Å, α = 90.00°, β = 90.00° and γ = 90.00°. The asymmetric unit holds Ba at (0.000, 0.000, 0.000), Sb at (0.500, 0.500, 0.311) and W at (0.000, 0.000, 0.500).

The uncorrected energy comes out at -45.90 eV per atom. Its formation energy from raw total energies is 42 meV/atom. Its relative energy among the computed polymorphs is 0 meV per atom. The calculation puts the magnetic moment at 0.00 Bohr magnetons per cell. The density comes out at 9.6 g cm⁻³.

---

Density functional theory data (meta-GGA SCAN) for a PBEsol-optimized structure of BaSb2W.

It has space group F-43m (No. 216), with a = 7.382 Å, b = 7.382 Å, c = 7.382 Å, α = 90.00°, β = 90.00° and γ = 90.00°. The asymmetric unit holds Ba at (0.000, 0.000, 0.000), Sb at (0.000, 0.000, 0.500), Sb at (0.250, 0.250, 0.750) and W at (0.250, 0.250, 0.250).

The uncorrected energy comes out at -44.97 eV per atom. Its formation energy from raw total energies is 972 meV/atom. Its relative energy among the computed polymorphs is 930 meV per atom. The calculation puts the magnetic moment at 8.20 Bohr magnetons per cell. The density comes out at 9.3 g cm⁻³.

---

Density functional theory data (meta-GGA SCAN) for a PBEsol-optimized structure of BaSb2W.

It has space group Pmmm (No. 47), with a = 4.453 Å, b = 4.777 Å, c = 4.876 Å, α = 90.00°, β = 90.00° and γ = 90.00°. The asymmetric unit holds Ba at (0.000, 0.000, 0.000), Sb at (0.500, 0.000, 0.500), Sb at (0.500, 0.500, 0.000) and W at (0.000, 0.500, 0.500).

The uncorrected energy comes out at -45.16 eV per atom. Its formation energy from raw total energies is 775 meV/atom. Its relative energy among the computed polymorphs is 733 meV per atom. The calculation puts the magnetic moment at 3.16 Bohr magnetons per cell. The density comes out at 9.0 g cm⁻³.

---

Density functional theory data (meta-GGA SCAN) for a PBEsol-optimized structure of BaY3Sb.

It has space group Pm-3m (No. 221), with a = 5.512 Å, b = 5.512 Å, c = 5.512 Å, α = 90.00°, β = 90.00° and γ = 90.00°. The asymmetric unit holds Ba at (0.000, 0.000, 0.000), Y at (0.000, 0.000, 0.500) and Sb at (0.500, 0.500, 0.500).

The uncorrected energy comes out at -31.08 eV per atom. Its formation energy from raw total energies is 983 meV/atom. The calculation puts the magnetic moment at 0.00 Bohr magnetons per cell. The density comes out at 5.2 g cm⁻³.

---

Density functional theory data (meta-GGA SCAN) for a PBEsol-optimized structure of BaZnSb2.

It has space group Imm2 (No. 44), with a = 4.320 Å, b = 5.458 Å, c = 10.093 Å, α = 90.00°, β = 90.00° and γ = 90.00°. The asymmetric unit holds Ba at (0.000, 0.000, 0.000), Zn at (0.000, 0.500, 0.208), Sb at (0.000, 0.000, 0.477) and Sb at (0.000, 0.500, 0.778).

The uncorrected energy comes out at -32.20 eV per atom. Its formation energy from raw total energies is -300 meV/atom. The calculation puts the magnetic moment at 0.00 Bohr magnetons per cell. The density comes out at 6.2 g cm⁻³.

---

Density functional theory data (meta-GGA SCAN) for a PBEsol-optimized structure of BaZnSb2.

It has space group I4/mmm (No. 139), with a = 4.429 Å, b = 4.429 Å, c = 23.715 Å, α = 90.00°, β = 90.00° and γ = 90.00°. The asymmetric unit holds Ba at (0.000, 0.000, 0.117), Zn at (0.000, 0.500, 0.250), Sb at (0.000, 0.000, 0.318) and Sb at (0.000, 0.500, 0.000).

The uncorrected energy comes out at -32.57 eV per atom. Its formation energy from raw total energies is -674 meV/atom. The calculation puts the magnetic moment at 0.00 Bohr magnetons per cell. The density comes out at 6.4 g cm⁻³.